# 1
Computed, not measured: an optimized crystal structure of LaH3Ir at the PBE level of DFT.

It has space group Amm2 (No. 38), with a = 3.045 Å, b = 4.166 Å, c = 10.529 Å, α = 90.00°, β = 90.00° and γ = 90.00°. The distinct sites, in fractional coordinates, are La at (0.000, 0.000, 0.000), H at (0.000, 0.235, 0.703), H at (0.500, 0.000, 0.842) and Ir at (0.500, 0.000, 0.680).

The calculation puts the density at 8.31 g/cm³. For the calculated total energy, the calculation gives -49.360 eV/cell. The volume comes out at 134 Å³/cell.



# 2
Computed, not measured: an optimized crystal structure of LaIn2Ag at the PBE level of DFT.

It has space group I-42d (No. 122), with a = 4.659 Å, b = 4.659 Å, c = 21.274 Å, α = 90.00°, β = 90.00° and γ = 90.00°. The distinct sites, in fractional coordinates, are La at (0.000, 0.000, 0.000), In at (0.195, 0.250, 0.625) and Ag at (0.000, 0.000, 0.500).

The calculation puts the density at 6.85 g/cm³. For the calculated total energy, the calculation gives -54.705 eV/cell. The calculation puts the energy of formation at -105.2 meV/atom. The volume comes out at 462 Å³/cell.



# 3
Computed, not measured: an optimized crystal structure of MnTlZn at the PBE level of DFT.

It has space group P3m1 (No. 156), with a = 3.1903 Å, b = 3.1903 Å, c = 6.7285 Å, α = 90.00°, β = 90.00° and γ = 120.00°. The distinct sites, in fractional coordinates, are Mn at (0.0000, 0.0000, 0.0000), Tl at (0.3333, 0.6667, 0.3513) and Zn at (0.6667, 0.3333, 0.7133).

Its offset from the most stable computed form is 0.19 eV per formula unit. The calculation puts the density at 9.09 g/cm³. For the calculated total energy, the calculation gives -11.586 eV/cell. The calculation puts the energy of formation at 407.9 meV/atom. The volume comes out at 59 Å³/cell.



# 4
Computed, not measured: an optimized crystal structure of Dy5Ho3Cd2 at the PBE level of DFT.

It has space group Ibam (No. 72), with a = 13.192 Å, b = 14.433 Å, c = 6.599 Å, α = 90.00°, β = 90.00° and γ = 90.00°. The distinct sites, in fractional coordinates, are Dy at (0.000, 0.000, 0.250), Dy at (0.100, 0.173, 0.000), Dy at (0.240, 0.000, 0.250), Ho at (0.000, 0.500, 0.250), Ho at (0.138, 0.283, 0.500) and Cd at (0.131, 0.366, 0.000).

The calculation puts the density at 8.10 g/cm³. For the calculated total energy, the calculation gives -146.852 eV/cell. The calculation puts the energy of formation at 186.1 meV/atom. The volume comes out at 1256 Å³/cell.



# 5
Computed, not measured: an optimized crystal structure of SrZrAg2 at the PBE level of DFT.

It has space group F-43m (No. 216), with a = 7.105 Å, b = 7.105 Å, c = 7.105 Å, α = 90.00°, β = 90.00° and γ = 90.00°. The distinct sites, in fractional coordinates, are Sr at (0.000, 0.000, 0.000), Zr at (0.250, 0.250, 0.750), Ag at (0.000, 0.000, 0.500) and Ag at (0.250, 0.250, 0.250).

Its offset from the most stable computed form is 1.49 eV per formula unit. The calculation puts the density at 7.31 g/cm³. For the calculated total energy, the calculation gives -58.552 eV/cell. The calculation puts the energy of formation at 323.6 meV/atom. The volume comes out at 359 Å³/cell.



# 6
Computed, not measured: an optimized crystal structure of Rb2SmAg2Se4 at the PBE level of DFT.

It has space group C2/m (No. 12), with a = 15.810 Å, b = 4.246 Å, c = 8.344 Å, α = 90.00°, β = 108.72° and γ = 90.00°. The distinct sites, in fractional coordinates, are Rb at (0.131, 0.000, 0.063), Sm at (0.000, 0.000, 0.500), Ag at (0.179, 0.500, 0.484), Se at (0.014, 0.500, 0.264) and Se at (0.197, 0.000, 0.689).

As for the uncorrected formation energy: -9.11 eV per formula unit. The calculation puts the density at 5.34 g/cm³. For the calculated total energy, the calculation gives -70.805 eV/cell. The volume comes out at 530 Å³/cell.



Copy entry 5 word for word.
Computed, not measured: an optimized crystal structure of SrZrAg2 at the PBE level of DFT.

It has space group F-43m (No. 216), with a = 7.105 Å, b = 7.105 Å, c = 7.105 Å, α = 90.00°, β = 90.00° and γ = 90.00°. The distinct sites, in fractional coordinates, are Sr at (0.000, 0.000, 0.000), Zr at (0.250, 0.250, 0.750), Ag at (0.000, 0.000, 0.500) and Ag at (0.250, 0.250, 0.250).

Its offset from the most stable computed form is 1.49 eV per formula unit. The calculation puts the density at 7.31 g/cm³. For the calculated total energy, the calculation gives -58.552 eV/cell. The calculation puts the energy of formation at 323.6 meV/atom. The volume comes out at 359 Å³/cell.



> Which of these has the highest density?

MnTlZn